## 1
VASP calculation (PBE) on an optimized crystal structure of TcH2Rh2.

N(E_F)	3.3	states/eV/f.u.
symmetry	P4/mbm
calculated volume	10.139	Å³ per atom
size of the total moment	0.0	μB/f.u.

Cell lengths 6.0112, 6.0112, 2.8060 Å; angles 90.00, 90.00, 90.00 degrees
With the nearest neighbours (Å) after each atom.
Positions (direct):
Tc (0.0000, 0.0000, 0.0000)  4 H 2.15
H (0.7858, 0.7142, 0.0000)  2 Rh 1.81
H (0.2142, 0.2858, 0.0000)  2 Rh 1.81
Rh (0.8491, 0.3491, 0.5000)  2 H 1.81
Rh (0.1509, 0.6509, 0.5000)  2 H 1.81
Tc (0.5000, 0.5000, 0.0000)  4 H 2.15
Rh (0.6509, 0.8491, 0.5000)  2 H 1.81
Rh (0.3491, 0.1509, 0.5000)  2 H 1.81
H (0.2858, 0.7858, 0.0000)  2 Rh 1.81
H (0.7142, 0.2142, 0.0000)  2 Rh 1.81

## 2
VASP calculation (PBE) on an optimized crystal structure of TcH2Rh2.

N(E_F)	1.6	states/eV/f.u.
symmetry	I4/mmm
calculated volume	9.813	Å³ per atom
size of the total moment	1.0	μB/f.u.

Cell lengths 3.4272, 3.4272, 4.8292 Å; angles 69.22, 69.22, 90.00 degrees
With the nearest neighbours (Å) after each atom.
Positions (direct):
H (0.2500, 0.7500, 0.5000)  4 Rh 1.87
Rh (0.3383, 0.3383, 0.3235)  4 H 1.87
Tc (0.0000, 0.0000, 0.0000)  8 H 2.70, 10 Rh 2.77-2.83
Rh (0.6617, 0.6617, 0.6765)  4 H 1.87
H (0.7500, 0.2500, 0.5000)  4 Rh 1.87

The structure with the greatest stability is 2.

## 1
VASP calculation (PBE) on an optimized crystal structure of TcHRh2.

N(E_F)	2.9	states/eV/f.u.
symmetry	R-3m
calculated volume	11.257	Å³ per atom
size of the total moment	0.0	μB/f.u.

Cell lengths 2.7513, 2.7513, 7.0499 Å; angles 78.75, 78.75, 60.00 degrees
With the nearest neighbours (Å) after each atom.
Positions (direct):
Rh (0.7276, 0.7276, 0.8173)  3 H 2.02
H (0.0000, 0.0000, 0.0000)  6 Rh 2.02
Tc (0.5000, 0.5000, 0.5000)  6 Rh 2.70, 6 Tc 2.75
Rh (0.2724, 0.2724, 0.1827)  3 H 2.02

## 2
VASP calculation (PBE) on an optimized crystal structure of TcHRh2.

N(E_F)	4.5	states/eV/f.u.
symmetry	P4/mmm
calculated volume	11.664	Å³ per atom
size of the total moment	0.0	μB/f.u.

Cell lengths 2.7189, 2.7189, 6.3112 Å; angles 90.00, 90.00, 90.00 degrees
With the nearest neighbours (Å) after each atom.
Positions (direct):
H (0.5000, 0.5000, 0.0000)  8 Rh 2.32
Rh (0.0000, 0.0000, 0.2055)  4 H 2.32, 1 Rh 2.59
Tc (0.5000, 0.5000, 0.5000)  8 Rh 2.67, 4 Tc 2.72
Rh (0.0000, 0.0000, 0.7945)  4 H 2.32, 1 Rh 2.59

## 3
VASP calculation (PBE) on an optimized crystal structure of TcHRh2.

N(E_F)	4.3	states/eV/f.u.
symmetry	R3m
calculated volume	11.277	Å³ per atom
size of the total moment	0.0	μB/f.u.

Cell lengths 2.7690, 2.7690, 6.9792 Å; angles 78.56, 78.56, 60.00 degrees
With the nearest neighbours (Å) after each atom.
Positions (direct):
Rh (0.0613, 0.0613, 0.8162)  3 H 2.03
H (0.6666, 0.6666, 0.0003)  6 Rh 2.03
Tc (0.5004, 0.5004, 0.4988)  6 Rh 2.67-2.68, 6 Tc 2.77
Rh (0.2717, 0.2717, 0.1848)  3 H 2.03

## 4
VASP calculation (PBE) on an optimized crystal structure of TcHRh2.

N(E_F)	2.6	states/eV/f.u.
symmetry	I-42d
calculated volume	11.773	Å³ per atom
size of the total moment	0.0	μB/f.u.

Cell lengths 6.1012, 6.1012, 5.0014 Å; angles 52.41, 52.41, 90.00 degrees
With the nearest neighbours (Å) after each atom.
Positions (direct):
Tc (0.7500, 0.2500, 0.5000)  2 H 2.53, 8 Rh 2.60-2.71
Rh (0.2274, 0.6250, 0.2500)  2 H 1.88
Rh (0.5226, 0.1250, 0.2500)  2 H 1.88
Tc (0.0000, 0.0000, 0.0000)  2 H 2.53, 8 Rh 2.60-2.71
Rh (0.3750, 0.4774, 0.7500)  2 H 1.88
Rh (0.8750, 0.7726, 0.7500)  2 H 1.88
H (0.2500, 0.7500, 0.5000)  4 Rh 1.88
H (0.5000, 0.5000, 0.0000)  4 Rh 1.88

The structure with the greatest stability is 3.